# HfCo2PPt (GGA-PBEsol, relaxed)
data_HfCo2PPt
_cell_length_a 4.046
_cell_length_b 4.046
_cell_length_c 4.764
_cell_angle_alpha 90.00
_cell_angle_beta 90.00
_cell_angle_gamma 90.00
_symmetry_space_group_name_H-M 'P 4/m m m'
_symmetry_Int_Tables_number 123
_symmetry_space_group_name_Hall '-P 4 2'
loop_
_atom_site_label
_atom_site_type_symbol
_atom_site_fract_x
_atom_site_fract_y
_atom_site_fract_z
Hf1 Hf 0.000 0.000 0.000
Co1 Co 0.000 0.500 0.500
P1 P 0.000 0.000 0.500
Pt1 Pt 0.500 0.500 0.000
# Raw total energy ... -7.759 eV/atom
# Formation enthalpy at 0 K ... -0.012 eV per atom
# Density of states at the Fermi level ... 5.28 states/eV per cell

# HfCoP2S (GGA-PBEsol, relaxed)
data_HfCoP2S
_cell_length_a 4.186
_cell_length_b 4.186
_cell_length_c 4.577
_cell_angle_alpha 90.00
_cell_angle_beta 90.00
_cell_angle_gamma 90.00
_symmetry_space_group_name_H-M 'P 4/m m m'
_symmetry_Int_Tables_number 123
_symmetry_space_group_name_Hall '-P 4 2'
loop_
_atom_site_label
_atom_site_type_symbol
_atom_site_fract_x
_atom_site_fract_y
_atom_site_fract_z
Hf1 Hf 0.000 0.000 0.000
Co1 Co 0.500 0.500 0.500
P1 P 0.000 0.500 0.500
S1 S 0.500 0.500 0.000
# Raw total energy ... -6.787 eV/atom
# Density of states at the Fermi level ... 4.92 states/eV per cell

# HfCoTe2P (GGA-PBEsol, relaxed)
data_HfCoTe2P
_cell_length_a 5.177
_cell_length_b 5.177
_cell_length_c 4.010
_cell_angle_alpha 90.00
_cell_angle_beta 90.00
_cell_angle_gamma 90.00
_symmetry_space_group_name_H-M 'P 4/m m m'
_symmetry_Int_Tables_number 123
_symmetry_space_group_name_Hall '-P 4 2'
loop_
_atom_site_label
_atom_site_type_symbol
_atom_site_fract_x
_atom_site_fract_y
_atom_site_fract_z
Hf1 Hf 0.000 0.000 0.000
Co1 Co 0.500 0.500 0.000
Te1 Te 0.000 0.500 0.500
P1 P 0.500 0.500 0.500
# Raw total energy ... -5.778 eV/atom
# Density of states at the Fermi level ... 4.93 states/eV per cell

# Hf2Co2Pb (GGA-PBEsol, relaxed)
data_Hf2Co2Pb
_cell_length_a 4.303
_cell_length_b 4.303
_cell_length_c 9.739
_cell_angle_alpha 90.00
_cell_angle_beta 90.00
_cell_angle_gamma 90.00
_symmetry_space_group_name_H-M 'I 4/m m m'
_symmetry_Int_Tables_number 139
_symmetry_space_group_name_Hall '-I 4 2'
loop_
_atom_site_label
_atom_site_type_symbol
_atom_site_fract_x
_atom_site_fract_y
_atom_site_fract_z
Hf1 Hf 0.000 0.500 0.250
Co1 Co 0.000 0.000 0.112
Pb1 Pb 0.000 0.000 0.500
# Raw total energy ... -8.161 eV/atom
# Formation enthalpy at 0 K ... -0.066 eV per atom
# Density of states at the Fermi level ... 4.73 states/eV per cell

# HfSc2CoPb (GGA-PBEsol, relaxed)
data_HfSc2CoPb
_cell_length_a 5.226
_cell_length_b 5.226
_cell_length_c 5.303
_cell_angle_alpha 90.00
_cell_angle_beta 90.00
_cell_angle_gamma 90.00
_symmetry_space_group_name_H-M 'P 4/m m m'
_symmetry_Int_Tables_number 123
_symmetry_space_group_name_Hall '-P 4 2'
loop_
_atom_site_label
_atom_site_type_symbol
_atom_site_fract_x
_atom_site_fract_y
_atom_site_fract_z
Hf1 Hf 0.000 0.000 0.000
Sc1 Sc 0.000 0.500 0.500
Co1 Co 0.500 0.500 0.000
Pb1 Pb 0.000 0.000 0.500
# Raw total energy ... -5.705 eV/atom
# Formation enthalpy at 0 K ... 1.385 eV per atom
# Density of states at the Fermi level ... 8.40 states/eV per cell

# HfCoPb2W (GGA-PBEsol, relaxed)
data_HfCoPb2W
_cell_length_a 5.443
_cell_length_b 5.443
_cell_length_c 4.829
_cell_angle_alpha 90.00
_cell_angle_beta 90.00
_cell_angle_gamma 90.00
_symmetry_space_group_name_H-M 'P 4/m m m'
_symmetry_Int_Tables_number 123
_symmetry_space_group_name_Hall '-P 4 2'
loop_
_atom_site_label
_atom_site_type_symbol
_atom_site_fract_x
_atom_site_fract_y
_atom_site_fract_z
Hf1 Hf 0.000 0.000 0.000
Co1 Co 0.500 0.500 0.500
Pb1 Pb 0.000 0.500 0.000
W1 W 0.000 0.000 0.500
# Raw total energy ... -5.968 eV/atom
# Formation enthalpy at 0 K ... 2.041 eV per atom
# Density of states at the Fermi level ... 8.75 states/eV per cell

# HfCoPd3 (GGA-PBEsol, relaxed)
data_HfCoPd3
_cell_length_a 4.447
_cell_length_b 4.447
_cell_length_c 4.447
_cell_angle_alpha 90.00
_cell_angle_beta 90.00
_cell_angle_gamma 90.00
_symmetry_space_group_name_H-M 'P m -3 m'
_symmetry_Int_Tables_number 221
_symmetry_space_group_name_Hall '-P 4 2 3'
loop_
_atom_site_label
_atom_site_type_symbol
_atom_site_fract_x
_atom_site_fract_y
_atom_site_fract_z
Hf1 Hf 0.000 0.000 0.000
Co1 Co 0.500 0.500 0.500
Pd1 Pd 0.000 0.500 0.500
# Raw total energy ... -6.679 eV/atom
# Formation enthalpy at 0 K ... 0.544 eV per atom
# Density of states at the Fermi level ... 5.92 states/eV per cell

# Hf2Co2Pd (GGA-PBEsol, relaxed)
data_Hf2Co2Pd
_cell_length_a 6.781
_cell_length_b 6.781
_cell_length_c 3.236
_cell_angle_alpha 90.00
_cell_angle_beta 90.00
_cell_angle_gamma 90.00
_symmetry_space_group_name_H-M 'P 4/m b m'
_symmetry_Int_Tables_number 127
_symmetry_space_group_name_Hall '-P 4 2ab'
loop_
_atom_site_label
_atom_site_type_symbol
_atom_site_fract_x
_atom_site_fract_y
_atom_site_fract_z
Hf1 Hf 0.173 0.327 0.000
Co1 Co 0.126 0.626 0.500
Pd1 Pd 0.000 0.000 0.500
# Raw total energy ... -8.992 eV/atom
# Formation enthalpy at 0 K ... -0.504 eV per atom
# Density of states at the Fermi level ... 9.51 states/eV per cell

# HfCoPd2Rh (GGA-PBEsol, relaxed)
data_HfCoPd2Rh
_cell_length_a 4.673
_cell_length_b 4.673
_cell_length_c 4.342
_cell_angle_alpha 90.00
_cell_angle_beta 90.00
_cell_angle_gamma 90.00
_symmetry_space_group_name_H-M 'P 4/m m m'
_symmetry_Int_Tables_number 123
_symmetry_space_group_name_Hall '-P 4 2'
loop_
_atom_site_label
_atom_site_type_symbol
_atom_site_fract_x
_atom_site_fract_y
_atom_site_fract_z
Hf1 Hf 0.000 0.000 0.000
Co1 Co 0.000 0.000 0.500
Pd1 Pd 0.000 0.500 0.000
Rh1 Rh 0.500 0.500 0.500
# Raw total energy ... -6.389 eV/atom
# Formation enthalpy at 0 K ... 1.270 eV per atom
# Density of states at the Fermi level ... 6.14 states/eV per cell

# Hf2Co2Pt (GGA-PBEsol, relaxed)
data_Hf2Co2Pt
_cell_length_a 6.701
_cell_length_b 6.701
_cell_length_c 3.314
_cell_angle_alpha 90.00
_cell_angle_beta 90.00
_cell_angle_gamma 90.00
_symmetry_space_group_name_H-M 'P 4/m b m'
_symmetry_Int_Tables_number 127
_symmetry_space_group_name_Hall '-P 4 2ab'
loop_
_atom_site_label
_atom_site_type_symbol
_atom_site_fract_x
_atom_site_fract_y
_atom_site_fract_z
Hf1 Hf 0.178 0.322 0.000
Co1 Co 0.122 0.622 0.500
Pt1 Pt 0.000 0.000 0.500
# Raw total energy ... -9.326 eV/atom
# Formation enthalpy at 0 K ... -0.637 eV per atom
# Density of states at the Fermi level ... 10.39 states/eV per cell

# HfSc2CoPt (GGA-PBEsol, relaxed)
data_HfSc2CoPt
_cell_length_a 5.052
_cell_length_b 5.052
_cell_length_c 4.705
_cell_angle_alpha 90.00
_cell_angle_beta 90.00
_cell_angle_gamma 90.00
_symmetry_space_group_name_H-M 'P 4/m m m'
_symmetry_Int_Tables_number 123
_symmetry_space_group_name_Hall '-P 4 2'
loop_
_atom_site_label
_atom_site_type_symbol
_atom_site_fract_x
_atom_site_fract_y
_atom_site_fract_z
Hf1 Hf 0.000 0.000 0.000
Sc1 Sc 0.000 0.500 0.000
Co1 Co 0.500 0.500 0.500
Pt1 Pt 0.000 0.000 0.500
# Raw total energy ... -6.507 eV/atom
# Formation enthalpy at 0 K ... 1.175 eV per atom
# Density of states at the Fermi level ... 6.01 states/eV per cell

# RbHf2Co (GGA-PBEsol, relaxed)
data_RbHf2Co
_cell_length_a 6.739
_cell_length_b 6.739
_cell_length_c 6.739
_cell_angle_alpha 90.00
_cell_angle_beta 90.00
_cell_angle_gamma 90.00
_symmetry_space_group_name_H-M 'F m -3 m'
_symmetry_Int_Tables_number 225
_symmetry_space_group_name_Hall '-F 4 2 3'
loop_
_atom_site_label
_atom_site_type_symbol
_atom_site_fract_x
_atom_site_fract_y
_atom_site_fract_z
Rb1 Rb 0.000 0.000 0.000
Hf1 Hf 0.250 0.250 0.250
Co1 Co 0.000 0.000 0.500
# Raw total energy ... -6.334 eV/atom
# Formation enthalpy at 0 K ... 1.108 eV per atom
# Density of states at the Fermi level ... 15.05 states/eV per cell

# RbHf2Co2 (GGA-PBEsol, relaxed)
data_RbHf2Co2
_cell_length_a 4.267
_cell_length_b 4.267
_cell_length_c 12.868
_cell_angle_alpha 90.00
_cell_angle_beta 90.00
_cell_angle_gamma 90.00
_symmetry_space_group_name_H-M 'I 4/m m m'
_symmetry_Int_Tables_number 139
_symmetry_space_group_name_Hall '-I 4 2'
loop_
_atom_site_label
_atom_site_type_symbol
_atom_site_fract_x
_atom_site_fract_y
_atom_site_fract_z
Rb1 Rb 0.000 0.000 0.000
Hf1 Hf 0.000 0.500 0.250
Co1 Co 0.000 0.000 0.355
# Raw total energy ... -7.081 eV/atom
# Formation enthalpy at 0 K ... 0.420 eV per atom
# Density of states at the Fermi level ... 7.67 states/eV per cell

# Hf2CoRe (GGA-PBEsol, relaxed)
data_Hf2CoRe
_cell_length_a 6.358
_cell_length_b 6.358
_cell_length_c 6.358
_cell_angle_alpha 90.00
_cell_angle_beta 90.00
_cell_angle_gamma 90.00
_symmetry_space_group_name_H-M 'F m -3 m'
_symmetry_Int_Tables_number 225
_symmetry_space_group_name_Hall '-F 4 2 3'
loop_
_atom_site_label
_atom_site_type_symbol
_atom_site_fract_x
_atom_site_fract_y
_atom_site_fract_z
Hf1 Hf 0.250 0.250 0.250
Co1 Co 0.000 0.000 0.000
Re1 Re 0.000 0.000 0.500
# Raw total energy ... -10.932 eV/atom
# Formation enthalpy at 0 K ... -0.413 eV per atom
# Density of states at the Fermi level ... 5.36 states/eV per cell

# Hf9CoRe4 (GGA-PBEsol, relaxed)
data_Hf9CoRe4
_cell_length_a 8.4611
_cell_length_b 8.4611
_cell_length_c 8.3841
_cell_angle_alpha 90.00
_cell_angle_beta 90.00
_cell_angle_gamma 120.00
_symmetry_space_group_name_H-M 'P 63/m m c'
_symmetry_Int_Tables_number 194
_symmetry_space_group_name_Hall '-P 6c 2c'
loop_
_atom_site_label
_atom_site_type_symbol
_atom_site_fract_x
_atom_site_fract_y
_atom_site_fract_z
Hf1 Hf 0.0829 0.5415 0.2500
Hf2 Hf 0.1999 0.3999 0.5583
Co1 Co 0.3333 0.6667 0.7500
Re1 Re 0.0000 0.0000 0.0000
Re2 Re 0.1108 0.2216 0.2500
# Raw total energy ... -11.463 eV/atom
# Formation enthalpy at 0 K ... -0.349 eV per atom
# Density of states at the Fermi level ... 21.17 states/eV per cell

# HfCo2Rh (GGA-PBEsol, relaxed)
data_HfCo2Rh
_cell_length_a 5.977
_cell_length_b 5.977
_cell_length_c 5.977
_cell_angle_alpha 90.00
_cell_angle_beta 90.00
_cell_angle_gamma 90.00
_symmetry_space_group_name_H-M 'F m -3 m'
_symmetry_Int_Tables_number 225
_symmetry_space_group_name_Hall '-F 4 2 3'
loop_
_atom_site_label
_atom_site_type_symbol
_atom_site_fract_x
_atom_site_fract_y
_atom_site_fract_z
Hf1 Hf 0.000 0.000 0.000
Co1 Co 0.250 0.250 0.250
Rh1 Rh 0.000 0.000 0.500
# Raw total energy ... -8.705 eV/atom
# Formation enthalpy at 0 K ... -0.176 eV per atom
# Density of states at the Fermi level ... 30.64 states/eV per cell

# Hf3CoRh (GGA-PBEsol, relaxed)
data_Hf3CoRh
_cell_length_a 4.616
_cell_length_b 4.616
_cell_length_c 4.616
_cell_angle_alpha 90.00
_cell_angle_beta 90.00
_cell_angle_gamma 90.00
_symmetry_space_group_name_H-M 'P m -3 m'
_symmetry_Int_Tables_number 221
_symmetry_space_group_name_Hall '-P 4 2 3'
loop_
_atom_site_label
_atom_site_type_symbol
_atom_site_fract_x
_atom_site_fract_y
_atom_site_fract_z
Hf1 Hf 0.000 0.000 0.500
Co1 Co 0.000 0.000 0.000
Rh1 Rh 0.500 0.500 0.500
# Raw total energy ... -9.249 eV/atom
# Formation enthalpy at 0 K ... 0.227 eV per atom
# Density of states at the Fermi level ... 6.06 states/eV per cell

# HfCoTeRh2 (GGA-PBEsol, relaxed)
data_HfCoTeRh2
_cell_length_a 4.719
_cell_length_b 4.719
_cell_length_c 4.408
_cell_angle_alpha 90.00
_cell_angle_beta 90.00
_cell_angle_gamma 90.00
_symmetry_space_group_name_H-M 'P 4/m m m'
_symmetry_Int_Tables_number 123
_symmetry_space_group_name_Hall '-P 4 2'
loop_
_atom_site_label
_atom_site_type_symbol
_atom_site_fract_x
_atom_site_fract_y
_atom_site_fract_z
Hf1 Hf 0.000 0.000 0.000
Co1 Co 0.500 0.500 0.000
Te1 Te 0.500 0.500 0.500
Rh1 Rh 0.000 0.500 0.500
# Raw total energy ... -6.828 eV/atom
# Density of states at the Fermi level ... 6.21 states/eV per cell

# Hf2CoRu (GGA-PBEsol, relaxed)
data_Hf2CoRu
_cell_length_a 6.323
_cell_length_b 6.323
_cell_length_c 6.323
_cell_angle_alpha 90.00
_cell_angle_beta 90.00
_cell_angle_gamma 90.00
_symmetry_space_group_name_H-M 'F m -3 m'
_symmetry_Int_Tables_number 225
_symmetry_space_group_name_Hall '-F 4 2 3'
loop_
_atom_site_label
_atom_site_type_symbol
_atom_site_fract_x
_atom_site_fract_y
_atom_site_fract_z
Hf1 Hf 0.250 0.250 0.250
Co1 Co 0.000 0.000 0.000
Ru1 Ru 0.000 0.000 0.500
# Raw total energy ... -10.286 eV/atom
# Formation enthalpy at 0 K ... -0.557 eV per atom
# Density of states at the Fermi level ... 9.25 states/eV per cell

# HfCoS2 (GGA-PBEsol, relaxed)
data_HfCoS2
_cell_length_a 3.4390
_cell_length_b 3.4390
_cell_length_c 22.0015
_cell_angle_alpha 90.00
_cell_angle_beta 90.00
_cell_angle_gamma 120.00
_symmetry_space_group_name_H-M 'R -3 m'
_symmetry_Int_Tables_number 166
_symmetry_space_group_name_Hall '-R 3 2"'
loop_
_atom_site_label
_atom_site_type_symbol
_atom_site_fract_x
_atom_site_fract_y
_atom_site_fract_z
Hf1 Hf 0.0000 0.0000 0.0000
Co1 Co 0.0000 0.0000 0.5000
S1 S 0.0000 0.0000 0.4037
# Raw total energy ... -7.434 eV/atom
# Density of states at the Fermi level ... 15.18 states/eV per cell

# Hf2Co2Sb (GGA-PBEsol, relaxed)
data_Hf2Co2Sb
_cell_length_a 7.030
_cell_length_b 7.030
_cell_length_c 3.242
_cell_angle_alpha 90.00
_cell_angle_beta 90.00
_cell_angle_gamma 90.00
_symmetry_space_group_name_H-M 'P 4/m b m'
_symmetry_Int_Tables_number 127
_symmetry_space_group_name_Hall '-P 4 2ab'
loop_
_atom_site_label
_atom_site_type_symbol
_atom_site_fract_x
_atom_site_fract_y
_atom_site_fract_z
Hf1 Hf 0.165 0.335 0.000
Co1 Co 0.128 0.628 0.500
Sb1 Sb 0.000 0.000 0.500
# Raw total energy ... -8.674 eV/atom
# Density of states at the Fermi level ... 8.29 states/eV per cell

# HfZr2CoSb (GGA-PBEsol, relaxed)
data_HfZr2CoSb
_cell_length_a 5.218
_cell_length_b 5.218
_cell_length_c 4.456
_cell_angle_alpha 90.00
_cell_angle_beta 90.00
_cell_angle_gamma 90.00
_symmetry_space_group_name_H-M 'P 4/m m m'
_symmetry_Int_Tables_number 123
_symmetry_space_group_name_Hall '-P 4 2'
loop_
_atom_site_label
_atom_site_type_symbol
_atom_site_fract_x
_atom_site_fract_y
_atom_site_fract_z
Hf1 Hf 0.000 0.000 0.000
Zr1 Zr 0.000 0.500 0.500
Co1 Co 0.500 0.500 0.000
Sb1 Sb 0.500 0.500 0.500
# Raw total energy ... -7.331 eV/atom
# Density of states at the Fermi level ... 8.60 states/eV per cell

# HfSc2Co2 (GGA-PBEsol, relaxed)
data_HfSc2Co2
_cell_length_a 6.360
_cell_length_b 6.360
_cell_length_c 4.183
_cell_angle_alpha 90.00
_cell_angle_beta 90.00
_cell_angle_gamma 90.00
_symmetry_space_group_name_H-M 'P 4/m b m'
_symmetry_Int_Tables_number 127
_symmetry_space_group_name_Hall '-P 4 2ab'
loop_
_atom_site_label
_atom_site_type_symbol
_atom_site_fract_x
_atom_site_fract_y
_atom_site_fract_z
Hf1 Hf 0.000 0.000 0.000
Sc1 Sc 0.176 0.324 0.500
Co1 Co 0.121 0.621 0.000
# Raw total energy ... -8.097 eV/atom
# Formation enthalpy at 0 K ... -0.259 eV per atom
# Density of states at the Fermi level ... 9.02 states/eV per cell

# Hf6Co16Si7 (GGA-PBEsol, relaxed)
data_Hf6Co16Si7
_cell_length_a 11.197
_cell_length_b 11.197
_cell_length_c 11.197
_cell_angle_alpha 90.00
_cell_angle_beta 90.00
_cell_angle_gamma 90.00
_symmetry_space_group_name_H-M 'F m -3 m'
_symmetry_Int_Tables_number 225
_symmetry_space_group_name_Hall '-F 4 2 3'
loop_
_atom_site_label
_atom_site_type_symbol
_atom_site_fract_x
_atom_site_fract_y
_atom_site_fract_z
Hf1 Hf 0.000 0.000 0.205
Co1 Co 0.120 0.120 0.380
Co2 Co 0.171 0.171 0.171
Si1 Si 0.000 0.000 0.500
Si2 Si 0.000 0.250 0.250
# Raw total energy ... -8.594 eV/atom
# Density of states at the Fermi level ... 124.30 states/eV per cell